Record 1
Compound: Ac2SmDyAs4
Source: Alexandria
Functional: PBE-GGA
Structure: relaxed

Unit cell a=7.5478 b=4.3607 c=7.5575 alpha=90.00 beta=109.43 gamma=90.00
Space group P2/m (No. 10)
Symmetry-distinct sites (fractional):
Ac: 0.0000 0.0000 0.0000 [1 per cell]
Ac: 0.5000 0.5000 0.0000 [1 per cell]
Sm: 0.0000 0.5000 0.5000 [1 per cell]
Dy: 0.5000 0.0000 0.5000 [1 per cell]
As: 0.2462 0.0000 0.7306 [2 per cell]
As: 0.2595 0.5000 0.2710 [2 per cell]

* formation enthalpy at 0 K: -1.476 eV/atom
* crystal system: monoclinic



Record 2
Compound: Ac2TbDyAs4
Source: Alexandria
Functional: PBE-GGA
Structure: relaxed

Unit cell a=7.5163 b=4.3422 c=7.5224 alpha=90.00 beta=109.43 gamma=90.00
Space group P2/m (No. 10)
Symmetry-distinct sites (fractional):
Ac: 0.0000 0.0000 0.0000 [1 per cell]
Ac: 0.5000 0.5000 0.0000 [1 per cell]
Tb: 0.0000 0.5000 0.5000 [1 per cell]
Dy: 0.5000 0.0000 0.5000 [1 per cell]
As: 0.2431 0.0000 0.7276 [2 per cell]
As: 0.2581 0.5000 0.2726 [2 per cell]

* formation enthalpy at 0 K: -1.475 eV/atom
* crystal system: monoclinic



Record 3
Compound: AcTb2DyAs4
Source: Alexandria
Functional: PBE-GGA
Structure: relaxed

Unit cell a=7.3501 b=4.2447 c=7.3514 alpha=90.00 beta=109.38 gamma=90.00
Space group P2/m (No. 10)
Symmetry-distinct sites (fractional):
Ac: 0.0000 0.0000 0.0000 [1 per cell]
Tb: 0.0000 0.5000 0.5000 [1 per cell]
Tb: 0.5000 0.0000 0.5000 [1 per cell]
Dy: 0.5000 0.5000 0.0000 [1 per cell]
As: 0.2579 0.0000 0.7436 [2 per cell]
As: 0.2654 0.5000 0.2645 [2 per cell]

* formation enthalpy at 0 K: -1.478 eV/atom
* crystal system: monoclinic



Record 4
Compound: AcTbDy2As4
Source: Alexandria
Functional: PBE-GGA
Structure: relaxed

Unit cell a=7.3410 b=4.2391 c=7.3426 alpha=90.00 beta=109.39 gamma=90.00
Space group P2/m (No. 10)
Symmetry-distinct sites (fractional):
Ac: 0.0000 0.0000 0.0000 [1 per cell]
Tb: 0.0000 0.5000 0.5000 [1 per cell]
Dy: 0.5000 0.0000 0.5000 [1 per cell]
Dy: 0.5000 0.5000 0.0000 [1 per cell]
As: 0.2584 0.0000 0.7433 [2 per cell]
As: 0.2661 0.5000 0.2654 [2 per cell]

* formation enthalpy at 0 K: -1.478 eV/atom
* crystal system: monoclinic



Record 5
Compound: AcDyTeAs
Source: Alexandria
Functional: PBE-GGA
Structure: relaxed

Unit cell a=4.3172 b=4.3172 c=23.3034 alpha=90.00 beta=90.00 gamma=120.00
Space group R3m (No. 160, hexagonal axes)
Symmetry-distinct sites (fractional):
Ac: 0.0000 0.0000 0.0000 [3 per cell]
Dy: 0.0000 0.0000 0.1886 [3 per cell]
Te: 0.0000 0.0000 0.4341 [3 per cell]
As: 0.0000 0.0000 0.5876 [3 per cell]

* ΔE_f (raw): -5.73 eV/f.u.
* crystal system: trigonal



Record 6
Compound: AcDy2ThAs4
Source: Alexandria
Functional: PBE-GGA
Structure: relaxed

Unit cell a=7.3388 b=4.2618 c=7.4019 alpha=90.00 beta=109.46 gamma=90.00
Space group P2/m (No. 10)
Symmetry-distinct sites (fractional):
Ac: 0.0000 0.0000 0.0000 [1 per cell]
Dy: 0.5000 0.0000 0.5000 [1 per cell]
Dy: 0.5000 0.5000 0.0000 [1 per cell]
Th: 0.0000 0.5000 0.5000 [1 per cell]
As: 0.2615 0.0000 0.7457 [2 per cell]
As: 0.2669 0.5000 0.2649 [2 per cell]

* formation enthalpy at 0 K: -1.473 eV/atom
* crystal system: monoclinic



Record 7
Compound: Ac3DyTh2As6
Source: Alexandria
Functional: PBE-GGA
Structure: relaxed

Unit cell a=7.5447 b=13.0777 c=7.6156 alpha=90.00 beta=109.27 gamma=90.00
Space group C2/m (No. 12)
Symmetry-distinct sites (fractional):
Ac: 0.0000 0.0000 0.0000 [2 per cell]
Ac: 0.0000 0.3331 0.0000 [4 per cell]
Dy: 0.0000 0.5000 0.5000 [2 per cell]
Th: 0.0000 0.1665 0.5000 [4 per cell]
As: 0.2416 0.3346 0.7286 [8 per cell]
As: 0.2456 0.0000 0.7295 [4 per cell]

* formation enthalpy at 0 K: -1.463 eV/atom
* crystal system: monoclinic



Record 8
Compound: Ac2DyThAs4
Source: Alexandria
Functional: PBE-GGA
Structure: relaxed

Unit cell a=7.5188 b=4.3576 c=7.6015 alpha=90.00 beta=109.32 gamma=90.00
Space group P2/m (No. 10)
Symmetry-distinct sites (fractional):
Ac: 0.0000 0.0000 0.0000 [1 per cell]
Ac: 0.5000 0.5000 0.0000 [1 per cell]
Dy: 0.0000 0.5000 0.5000 [1 per cell]
Th: 0.5000 0.0000 0.5000 [1 per cell]
As: 0.2409 0.0000 0.7279 [2 per cell]
As: 0.2545 0.5000 0.2709 [2 per cell]

* formation enthalpy at 0 K: -1.470 eV/atom
* crystal system: monoclinic



Record 9
Compound: AcDy2TmAs4
Source: Alexandria
Functional: PBE-GGA
Structure: relaxed

Unit cell a=7.3102 b=4.2238 c=7.3153 alpha=90.00 beta=109.37 gamma=90.00
Space group P2/m (No. 10)
Symmetry-distinct sites (fractional):
Ac: 0.0000 0.0000 0.0000 [1 per cell]
Dy: 0.0000 0.5000 0.5000 [1 per cell]
Dy: 0.5000 0.0000 0.5000 [1 per cell]
Tm: 0.5000 0.5000 0.0000 [1 per cell]
As: 0.2599 0.0000 0.7447 [2 per cell]
As: 0.2671 0.5000 0.2646 [2 per cell]

* formation enthalpy at 0 K: -1.457 eV/atom
* crystal system: monoclinic



Record 10
Compound: AcDy2YAs4
Source: Alexandria
Functional: PBE-GGA
Structure: relaxed

Unit cell a=7.3354 b=4.2368 c=7.3355 alpha=90.00 beta=109.38 gamma=90.00
Space group P2/m (No. 10)
Symmetry-distinct sites (fractional):
Ac: 0.0000 0.0000 0.0000 [1 per cell]
Dy: 0.5000 0.0000 0.5000 [1 per cell]
Dy: 0.5000 0.5000 0.0000 [1 per cell]
Y: 0.0000 0.5000 0.5000 [1 per cell]
As: 0.2581 0.0000 0.7430 [2 per cell]
As: 0.2660 0.5000 0.2655 [2 per cell]

* formation enthalpy at 0 K: -1.481 eV/atom
* crystal system: monoclinic



Record 11
Compound: AcEr2As
Source: Alexandria
Functional: PBE-GGA
Structure: relaxed

Unit cell a=3.8340 b=3.8340 c=32.1780 alpha=90.00 beta=90.00 gamma=120.00
Space group R-3m (No. 166, hexagonal axes)
Symmetry-distinct sites (fractional):
Ac: 0.0000 0.0000 0.0000 [3 per cell]
Er: 0.0000 0.0000 0.1142 [6 per cell]
As: 0.0000 0.0000 0.5000 [3 per cell]

* formation enthalpy at 0 K: -0.459 eV/atom
* crystal system: trigonal



Record 12
Compound: AcErAs3
Source: Alexandria
Functional: PBE-GGA
Structure: relaxed

Unit cell a=5.2992 b=5.2992 c=5.2992 alpha=90.00 beta=90.00 gamma=90.00
Space group Pm-3m (No. 221)
Symmetry-distinct sites (fractional):
Ac: 0.0000 0.0000 0.0000 [1 per cell]
Er: 0.5000 0.5000 0.5000 [1 per cell]
As: 0.0000 0.5000 0.5000 [3 per cell]

* formation enthalpy at 0 K: -0.570 eV/atom
* crystal system: cubic



no.,M_tot (Bohr magnetons per cell),energy (hartree per atom)
1,0.00,-0.2202
2,0.00,-0.2198
3,0.00,-0.2223
4,0.00,-0.2222
5,0.00,-0.2042
6,0.00,-0.2348
7,0.00,-0.2365
8,0.00,-0.2324
9,0.00,-0.2207
10,0.00,-0.2307
11,0.00,-0.1812
12,0.00,-0.1872